Record 1
# MgZr2Mo PBE relaxed
# Energy above the most stable polymorph in this dataset   0.7052 eV/atom
# Energy of formation   683.5 meV/atom
# DOS(E_F)   7.15 states/eV/cell
# Crystal system   tetragonal
# Magnetic moment   0.0 μB/f.u.
# Space group   No. 122
data_MgZr2Mo
_symmetry_space_group_name_H-M 'P 1'
_symmetry_Int_Tables_number 1
_cell_length_a 10.5206
_cell_length_b 10.5206
_cell_length_c 10.5206
_cell_angle_alpha 157.49
_cell_angle_beta 157.49
_cell_angle_gamma 32.04
loop_
_symmetry_equiv_pos_as_xyz
'x,y,z'
loop_
_atom_site_label
_atom_site_type_symbol
_atom_site_fract_x
_atom_site_fract_y
_atom_site_fract_z
_atom_site_occupancy
Mg1 Mg 0.0000 0.0000 0.0000 1
Mg2 Mg 0.7500 0.2500 0.5000 1
Zr1 Zr 0.1405 0.6250 0.0155 1
Zr2 Zr 0.3750 0.3905 0.5155 1
Zr3 Zr 0.6095 0.1250 0.9845 1
Zr4 Zr 0.8750 0.8595 0.4845 1
Mo1 Mo 0.2500 0.7500 0.5000 1
Mo2 Mo 0.5000 0.5000 0.0000 1

Record 2
# Sr2ReW PBE relaxed
# Energy above the most stable polymorph in this dataset   1.3831 eV/atom
# Energy of formation   1907.4 meV/atom
# DOS(E_F)   7.86 states/eV/cell
# Crystal system   cubic
# Magnetic moment   3.7 μB/f.u.
# Space group   No. 225
data_Sr2ReW
_symmetry_space_group_name_H-M 'P 1'
_symmetry_Int_Tables_number 1
_cell_length_a 5.2328
_cell_length_b 5.2328
_cell_length_c 5.2328
_cell_angle_alpha 60.00
_cell_angle_beta 60.00
_cell_angle_gamma 60.00
loop_
_symmetry_equiv_pos_as_xyz
'x,y,z'
loop_
_atom_site_label
_atom_site_type_symbol
_atom_site_fract_x
_atom_site_fract_y
_atom_site_fract_z
_atom_site_occupancy
Sr1 Sr 0.2500 0.2500 0.2500 1
Sr2 Sr 0.7500 0.7500 0.7500 1
Re1 Re 0.0000 0.0000 0.0000 1
W1 W 0.5000 0.5000 0.5000 1

Record 3
# Mg7Tl2Hg PBE relaxed
# Energy above the most stable polymorph in this dataset   0.0000 eV/atom
# Energy of formation   -41.8 meV/atom
# DOS(E_F)   4.23 states/eV/cell
# Crystal system   trigonal
# Magnetic moment   0.0 μB/f.u.
# Space group   No. 156
data_Mg7Tl2Hg
_symmetry_space_group_name_H-M 'P 1'
_symmetry_Int_Tables_number 1
_cell_length_a 4.8602
_cell_length_b 4.8602
_cell_length_c 11.9433
_cell_angle_alpha 90.00
_cell_angle_beta 90.00
_cell_angle_gamma 120.00
loop_
_symmetry_equiv_pos_as_xyz
'x,y,z'
loop_
_atom_site_label
_atom_site_type_symbol
_atom_site_fract_x
_atom_site_fract_y
_atom_site_fract_z
_atom_site_occupancy
Mg1 Mg 0.0000 0.0000 0.0000 1
Mg2 Mg 0.0000 0.0000 0.2524 1
Mg3 Mg 0.0000 0.0000 0.5167 1
Mg4 Mg 0.3333 0.6667 0.1440 1
Mg5 Mg 0.3333 0.6667 0.6785 1
Mg6 Mg 0.6667 0.3333 0.3492 1
Mg7 Mg 0.6667 0.3333 0.8488 1
Tl1 Tl 0.0000 0.0000 0.7584 1
Tl2 Tl 0.3333 0.6667 0.4200 1
Hg1 Hg 0.6667 0.3333 0.0962 1

Record 4
# KBa6NO PBE relaxed
# Uncorrected formation energy   -0.6304 eV per atom
# DOS(E_F)   8.88 states/eV/cell
# Crystal system   triclinic
# Magnetic moment   0.0 μB/f.u.
# Space group   No. 1
data_KBa6NO
_symmetry_space_group_name_H-M 'P 1'
_symmetry_Int_Tables_number 1
_cell_length_a 7.8649
_cell_length_b 8.7287
_cell_length_c 8.7443
_cell_angle_alpha 117.25
_cell_angle_beta 94.90
_cell_angle_gamma 94.66
loop_
_symmetry_equiv_pos_as_xyz
'x,y,z'
loop_
_atom_site_label
_atom_site_type_symbol
_atom_site_fract_x
_atom_site_fract_y
_atom_site_fract_z
_atom_site_occupancy
K1 K 0.0000 0.0000 0.0000 1
Ba1 Ba 0.2573 0.5943 0.1771 1
Ba2 Ba 0.2591 0.1785 0.5941 1
Ba3 Ba 0.4073 0.6839 0.6872 1
Ba4 Ba 0.5913 0.3075 0.3130 1
Ba5 Ba 0.7420 0.4045 0.8188 1
Ba6 Ba 0.7465 0.8182 0.4054 1
N1 N 0.5000 0.3874 0.6098 1
O1 O 0.5007 0.6133 0.3831 1

Record 5
# Pm2NdAl2 PBE relaxed
# Energy above the most stable polymorph in this dataset   0.0000 eV/atom
# Energy of formation   -301.6 meV/atom
# DOS(E_F)   4.98 states/eV/cell
# Crystal system   orthorhombic
# Magnetic moment   0.0 μB/f.u.
# Space group   No. 71
data_Pm2NdAl2
_symmetry_space_group_name_H-M 'P 1'
_symmetry_Int_Tables_number 1
_cell_length_a 5.8568
_cell_length_b 5.8568
_cell_length_c 5.8568
_cell_angle_alpha 129.59
_cell_angle_beta 107.36
_cell_angle_gamma 93.69
loop_
_symmetry_equiv_pos_as_xyz
'x,y,z'
loop_
_atom_site_label
_atom_site_type_symbol
_atom_site_fract_x
_atom_site_fract_y
_atom_site_fract_z
_atom_site_occupancy
Pm1 Pm 0.1980 0.1980 0.0000 1
Pm2 Pm 0.8020 0.8020 0.0000 1
Nd1 Nd 0.5000 0.0000 0.5000 1
Al1 Al 0.1923 0.5000 0.6923 1
Al2 Al 0.8077 0.5000 0.3077 1

Record 6
# BaCu2Au9 PBE relaxed
# Energy of formation   -225.4 meV/atom
# DOS(E_F)   8.33 states/eV/cell
# Crystal system   tetragonal
# Magnetic moment   0.0 μB/f.u.
# Space group   No. 141
data_BaCu2Au9
_symmetry_space_group_name_H-M 'P 1'
_symmetry_Int_Tables_number 1
_cell_length_a 8.8058
_cell_length_b 8.8058
_cell_length_c 8.8058
_cell_angle_alpha 100.09
_cell_angle_beta 100.09
_cell_angle_gamma 130.51
loop_
_symmetry_equiv_pos_as_xyz
'x,y,z'
loop_
_atom_site_label
_atom_site_type_symbol
_atom_site_fract_x
_atom_site_fract_y
_atom_site_fract_z
_atom_site_occupancy
Ba1 Ba 0.3750 0.6250 0.7500 1
Ba2 Ba 0.6250 0.3750 0.2500 1
Cu1 Cu 0.0000 0.0000 0.0000 1
Cu2 Cu 0.0000 0.0000 0.5000 1
Cu3 Cu 0.0000 0.5000 0.0000 1
Cu4 Cu 0.5000 0.0000 0.5000 1
Au1 Au 0.1250 0.8750 0.2500 1
Au2 Au 0.1431 0.5684 0.3322 1
Au3 Au 0.1431 0.8109 0.5747 1
Au4 Au 0.1891 0.2638 0.3322 1
Au5 Au 0.1891 0.8569 0.9253 1
Au6 Au 0.2638 0.1891 0.8322 1
Au7 Au 0.2638 0.4316 0.0747 1
Au8 Au 0.4316 0.2638 0.5747 1
Au9 Au 0.4316 0.8569 0.1678 1
Au10 Au 0.5684 0.1431 0.8322 1
Au11 Au 0.5684 0.7362 0.4253 1
Au12 Au 0.7362 0.5684 0.9253 1
Au13 Au 0.7362 0.8109 0.1678 1
Au14 Au 0.8109 0.1431 0.0747 1
Au15 Au 0.8109 0.7362 0.6678 1
Au16 Au 0.8569 0.1891 0.4253 1
Au17 Au 0.8569 0.4316 0.6678 1
Au18 Au 0.8750 0.1250 0.7500 1

Record 7
# Tb4Er15Tl PBE relaxed
# Energy of formation   -14.3 meV/atom
# DOS(E_F)   23.26 states/eV/cell
# Crystal system   tetragonal
# Magnetic moment   0.0 μB/f.u.
# Space group   No. 123
data_Tb4Er15Tl
_symmetry_space_group_name_H-M 'P 1'
_symmetry_Int_Tables_number 1
_cell_length_a 4.9283
_cell_length_b 4.9283
_cell_length_c 24.9414
_cell_angle_alpha 90.00
_cell_angle_beta 90.00
_cell_angle_gamma 90.00
loop_
_symmetry_equiv_pos_as_xyz
'x,y,z'
loop_
_atom_site_label
_atom_site_type_symbol
_atom_site_fract_x
_atom_site_fract_y
_atom_site_fract_z
_atom_site_occupancy
Tb1 Tb 0.0000 0.0000 0.1008 1
Tb2 Tb 0.0000 0.0000 0.3015 1
Tb3 Tb 0.0000 0.0000 0.6985 1
Tb4 Tb 0.0000 0.0000 0.8992 1
Er1 Er 0.0000 0.5000 0.0000 1
Er2 Er 0.0000 0.5000 0.2013 1
Er3 Er 0.0000 0.5000 0.4024 1
Er4 Er 0.0000 0.5000 0.5976 1
Er5 Er 0.0000 0.5000 0.7987 1
Er6 Er 0.5000 0.0000 0.0000 1
Er7 Er 0.5000 0.0000 0.2013 1
Er8 Er 0.5000 0.0000 0.4024 1
Er9 Er 0.5000 0.0000 0.5976 1
Er10 Er 0.5000 0.0000 0.7987 1
Er11 Er 0.5000 0.5000 0.1012 1
Er12 Er 0.5000 0.5000 0.3044 1
Er13 Er 0.5000 0.5000 0.5000 1
Er14 Er 0.5000 0.5000 0.6956 1
Er15 Er 0.5000 0.5000 0.8988 1
Tl1 Tl 0.0000 0.0000 0.5000 1

Record 8
# PrCu3P3 PBE relaxed
# Energy of formation   -303.6 meV/atom
# DOS(E_F)   4.14 states/eV/cell
# Crystal system   cubic
# Magnetic moment   0.0 μB/f.u.
# Space group   No. 223
data_PrCu3P3
_symmetry_space_group_name_H-M 'P 1'
_symmetry_Int_Tables_number 1
_cell_length_a 6.3316
_cell_length_b 6.3316
_cell_length_c 6.3316
_cell_angle_alpha 90.00
_cell_angle_beta 90.00
_cell_angle_gamma 90.00
loop_
_symmetry_equiv_pos_as_xyz
'x,y,z'
loop_
_atom_site_label
_atom_site_type_symbol
_atom_site_fract_x
_atom_site_fract_y
_atom_site_fract_z
_atom_site_occupancy
Pr1 Pr 0.0000 0.0000 0.0000 1
Pr2 Pr 0.5000 0.5000 0.5000 1
Cu1 Cu 0.0000 0.2500 0.5000 1
Cu2 Cu 0.0000 0.7500 0.5000 1
Cu3 Cu 0.2500 0.5000 0.0000 1
Cu4 Cu 0.5000 0.0000 0.2500 1
Cu5 Cu 0.5000 0.0000 0.7500 1
Cu6 Cu 0.7500 0.5000 0.0000 1
P1 P 0.0000 0.5000 0.2500 1
P2 P 0.0000 0.5000 0.7500 1
P3 P 0.2500 0.0000 0.5000 1
P4 P 0.5000 0.2500 0.0000 1
P5 P 0.5000 0.7500 0.0000 1
P6 P 0.7500 0.0000 0.5000 1

Record 9
# KTlZnH4 PBE relaxed
# Crystal system   orthorhombic
# Magnetic moment   0.0 μB/f.u.
# Space group   No. 63
# Electronic total energy   -36.53 eV for the cell shown
data_KTlZnH4
_symmetry_space_group_name_H-M 'P 1'
_symmetry_Int_Tables_number 1
_cell_length_a 5.8410
_cell_length_b 5.8410
_cell_length_c 8.0504
_cell_angle_alpha 90.00
_cell_angle_beta 90.00
_cell_angle_gamma 119.65
loop_
_symmetry_equiv_pos_as_xyz
'x,y,z'
loop_
_atom_site_label
_atom_site_type_symbol
_atom_site_fract_x
_atom_site_fract_y
_atom_site_fract_z
_atom_site_occupancy
K1 K 0.1874 0.8126 0.7500 1
K2 K 0.8126 0.1874 0.2500 1
Tl1 Tl 0.5000 0.5000 0.0000 1
Tl2 Tl 0.5000 0.5000 0.5000 1
Zn1 Zn 0.1559 0.8441 0.2500 1
Zn2 Zn 0.8441 0.1559 0.7500 1
H1 H 0.1710 0.2895 0.7500 1
H2 H 0.2532 0.7468 0.0846 1
H3 H 0.2532 0.7468 0.4154 1
H4 H 0.2895 0.1710 0.2500 1
H5 H 0.7105 0.8290 0.7500 1
H6 H 0.7468 0.2532 0.5846 1
H7 H 0.7468 0.2532 0.9154 1
H8 H 0.8290 0.7105 0.2500 1

Record 10
# ZrTaSn2Mo PBE relaxed
# Energy of formation   1157.3 meV/atom
# DOS(E_F)   6.57 states/eV/cell
# Crystal system   tetragonal
# Magnetic moment   1.8 μB/f.u.
# Space group   No. 123
data_ZrTaSn2Mo
_symmetry_space_group_name_H-M 'P 1'
_symmetry_Int_Tables_number 1
_cell_length_a 5.1361
_cell_length_b 5.1361
_cell_length_c 4.9110
_cell_angle_alpha 90.00
_cell_angle_beta 90.00
_cell_angle_gamma 90.00
loop_
_symmetry_equiv_pos_as_xyz
'x,y,z'
loop_
_atom_site_label
_atom_site_type_symbol
_atom_site_fract_x
_atom_site_fract_y
_atom_site_fract_z
_atom_site_occupancy
Zr1 Zr 0.0000 0.0000 0.0000 1
Ta1 Ta 0.5000 0.5000 0.0000 1
Sn1 Sn 0.0000 0.5000 0.5000 1
Sn2 Sn 0.5000 0.0000 0.5000 1
Mo1 Mo 0.0000 0.0000 0.5000 1

Record 11
# ZrFe2W PBE relaxed
# Energy of formation   99.1 meV/atom
# DOS(E_F)   3.28 states/eV/cell
# Crystal system   monoclinic
# Magnetic moment   0.0 μB/f.u.
# Space group   No. 6
data_ZrFe2W
_symmetry_space_group_name_H-M 'P 1'
_symmetry_Int_Tables_number 1
_cell_length_a 2.9568
_cell_length_b 4.2256
_cell_length_c 4.7663
_cell_angle_alpha 90.00
_cell_angle_beta 100.61
_cell_angle_gamma 90.00
loop_
_symmetry_equiv_pos_as_xyz
'x,y,z'
loop_
_atom_site_label
_atom_site_type_symbol
_atom_site_fract_x
_atom_site_fract_y
_atom_site_fract_z
_atom_site_occupancy
Zr1 Zr 0.0000 0.0000 0.0000 1
Fe1 Fe 0.5328 0.5000 0.1105 1
Fe2 Fe 0.6349 0.0000 0.4776 1
W1 W 0.1980 0.5000 0.5571 1

Among the records above, which one has the highest magnetic moment? Sr2ReW

Look up the magnetic moment of the tenth one. 1.8 μB/f.u.